Density functional theory data (PBE with a Hubbard U) for a relaxed structure of CaMnSi2O6.

Properties
- Spin magnetization: 5.000 μB per formula unit
- Space group: No. 15
- VASP energy: -77.02 eV per formula unit
- Crystal system: monoclinic

Structure (POSCAR):
```
CaMnSi2O6
1.0
5.3623 0.0024 0.0023
1.3608 6.7074 0.0045
1.3608 0.3138 6.7001
Ca Mn O Si
2 2 12 4
Direct
0.7500 0.7008 0.2992
0.2500 0.2992 0.7008
0.2500 0.9039 0.0961
0.7500 0.0961 0.9039
0.1705 0.6061 0.1220
0.6705 0.1220 0.6061
0.0049 0.6692 0.6363
0.4951 0.3637 0.3308
0.8457 0.0270 0.2131
0.9951 0.3308 0.3637
0.1543 0.9730 0.7869
0.3457 0.2131 0.0270
0.8295 0.3939 0.8780
0.6543 0.7869 0.9730
0.5049 0.6363 0.6692
0.3295 0.8780 0.3939
0.2597 0.3786 0.1958
0.2403 0.8042 0.6214
0.7597 0.1958 0.3786
0.7403 0.6214 0.8042
```